No. 1
VASP calculation (GGA-PBE) on a geometry-optimized NaTcN3 structure.

Cell lengths 3.8837, 3.8837, 3.8929 Å; angles 90.00, 90.00, 90.00 degrees
Last column: nearest neighbours and their distance in Å.
Positions (direct):
Na1 0.0000 0.0000 0.0000  12 N 2.74-2.76
Tc1 0.5000 0.5000 0.5036  6 N 1.94-1.95
N1 0.0000 0.5000 0.5039  2 Tc 1.94
N2 0.5000 0.0000 0.5039  2 Tc 1.94
N3 0.5000 0.5000 0.0038  2 Tc 1.95

For the total energy, the calculation gives -6.84 eV per atom. The space group is No. 99.


No. 2
VASP calculation (GGA-PBE) on a geometry-optimized TbHoSbI2 structure.

Cell lengths 4.3294, 4.3294, 11.1818 Å; angles 90.00, 90.00, 120.00 degrees
Last column: nearest neighbours and their distance in Å.
Positions (direct):
Tb1 0.0000 0.0000 0.0000  3 Sb 3.03, 3 I 3.17
Ho1 0.3333 0.6667 0.3011  3 Sb 3.00, 3 I 3.16
Sb1 0.6667 0.3333 0.1527  3 Ho 3.00, 3 Tb 3.03
I1 0.0000 0.0000 0.4747  3 Ho 3.16
I2 0.3333 0.6667 0.8256  3 Tb 3.17

For the total energy, the calculation gives -4.54 eV per atom. The space group is No. 156.


No. 3
VASP calculation (GGA-PBE) on a geometry-optimized Ba2AgBiO6 structure.

Cell lengths 5.9762, 5.9762, 5.9762 Å; angles 59.93, 59.93, 59.93 degrees
Last column: nearest neighbours and their distance in Å.
Positions (direct):
Ba1 0.2502 0.2502 0.2502  12 O 2.98-2.99
Ba2 0.7498 0.7498 0.7498  12 O 2.98-2.99
Ag1 0.0000 0.0000 0.0000  6 O 2.11
Bi1 0.5000 0.5000 0.5000  6 O 2.11
O1 0.2487 0.2507 0.7498  1 Ag 2.11, 1 Bi 2.11
O2 0.2502 0.7513 0.7493  1 Ag 2.11, 1 Bi 2.11
O3 0.2507 0.7498 0.2487  1 Ag 2.11, 1 Bi 2.11
O4 0.7493 0.2502 0.7513  1 Ag 2.11, 1 Bi 2.11
O5 0.7498 0.2487 0.2507  1 Ag 2.11, 1 Bi 2.11
O6 0.7513 0.7493 0.2502  1 Ag 2.11, 1 Bi 2.11

For the total energy, the calculation gives -5.48 eV per atom. The space group is No. 148.


No. 4
VASP calculation (GGA-PBE) on a geometry-optimized K2MgAgBr6 structure.

Cell lengths 7.6551, 7.6551, 7.6551 Å; angles 60.00, 60.00, 60.00 degrees
Last column: nearest neighbours and their distance in Å.
Positions (direct):
K1 0.2500 0.2500 0.2500  12 Br 3.83
K2 0.7500 0.7500 0.7500  12 Br 3.83
Mg1 0.0000 0.0000 0.0000  6 Br 2.67
Ag1 0.5000 0.5000 0.5000  6 Br 2.74
Br1 0.2465 0.2465 0.7535  1 Mg 2.67, 1 Ag 2.74
Br2 0.2465 0.7535 0.2465  1 Mg 2.67, 1 Ag 2.74
Br3 0.2465 0.7535 0.7535  1 Mg 2.67, 1 Ag 2.74
Br4 0.7535 0.2465 0.2465  1 Mg 2.67, 1 Ag 2.74
Br5 0.7535 0.2465 0.7535  1 Mg 2.67, 1 Ag 2.74
Br6 0.7535 0.7535 0.2465  1 Mg 2.67, 1 Ag 2.74

For the total energy, the calculation gives -2.79 eV per atom. The space group is No. 225.


No. 5
VASP calculation (GGA-PBE) on a geometry-optimized KCuPtSeS2 structure.

Cell lengths 7.3576, 7.3576, 10.1250 Å; angles 90.00, 90.00, 150.70 degrees
Last column: nearest neighbours and their distance in Å.
Positions (direct):
K1 0.2466 0.7534 0.7500  2 Se 3.31, 2 Cu 3.38, 6 S 3.45-3.62
K2 0.7534 0.2466 0.2500  2 Se 3.31, 2 Cu 3.38, 6 S 3.45-3.62
Cu1 0.4514 0.5486 0.2500  2 S 2.27, 2 Se 2.43
Cu2 0.5486 0.4514 0.7500  2 S 2.27, 2 Se 2.43
Pt1 0.0000 0.0000 0.0000  4 S 2.43, 2 Se 2.68
Pt2 0.0000 0.0000 0.5000  4 S 2.43, 2 Se 2.68
Se1 0.0610 0.9390 0.2500  2 Cu 2.43, 2 Pt 2.68
Se2 0.9390 0.0610 0.7500  2 Cu 2.43, 2 Pt 2.68
S1 0.3937 0.6063 0.0412  1 Cu 2.27, 2 Pt 2.43
S2 0.3937 0.6063 0.4588  1 Cu 2.27, 2 Pt 2.43
S3 0.6063 0.3937 0.5412  1 Cu 2.27, 2 Pt 2.43
S4 0.6063 0.3937 0.9588  1 Cu 2.27, 2 Pt 2.43

For the total energy, the calculation gives -4.24 eV per atom. The space group is No. 63.


No. 6
VASP calculation (GGA-PBE) on a geometry-optimized NdTaN2O structure.

Cell lengths 5.7304, 5.7304, 14.2266 Å; angles 90.00, 90.00, 120.00 degrees
Last column: nearest neighbours and their distance in Å.
Positions (direct):
Nd1 0.0000 0.0000 0.2500  6 N 2.80, 6 O 2.87
Nd2 0.0000 0.0000 0.7500  6 N 2.80, 6 O 2.87
Nd3 0.3333 0.6667 0.1112  3 O 2.56
Nd4 0.3333 0.6667 0.3888  3 O 2.56
Nd5 0.6667 0.3333 0.6112  3 O 2.56
Nd6 0.6667 0.3333 0.8888  3 O 2.56
Ta1 0.0000 0.0000 0.0000  6 N 2.03
Ta2 0.0000 0.0000 0.5000  6 N 2.03
Ta3 0.3333 0.6667 0.6467  3 N 1.90
Ta4 0.3333 0.6667 0.8533  3 N 1.90
Ta5 0.6667 0.3333 0.1467  3 N 1.90
Ta6 0.6667 0.3333 0.3533  3 N 1.90
N1 0.1607 0.3214 0.5886  2 Ta 1.90-2.03
N2 0.1607 0.3214 0.9114  2 Ta 1.90-2.03
N3 0.1607 0.8393 0.5886  2 Ta 1.90-2.03
N4 0.1607 0.8393 0.9114  2 Ta 1.90-2.03
N5 0.3214 0.1607 0.0886  2 Ta 1.90-2.03
N6 0.3214 0.1607 0.4114  2 Ta 1.90-2.03
N7 0.6786 0.8393 0.5886  2 Ta 1.90-2.03
N8 0.6786 0.8393 0.9114  2 Ta 1.90-2.03
N9 0.8393 0.1607 0.0886  2 Ta 1.90-2.03
N10 0.8393 0.1607 0.4114  2 Ta 1.90-2.03
N11 0.8393 0.6786 0.0886  2 Ta 1.90-2.03
N12 0.8393 0.6786 0.4114  2 Ta 1.90-2.03
O1 0.0049 0.5024 0.2500  2 Ta 2.23
O2 0.4976 0.5024 0.2500  2 Ta 2.23
O3 0.4976 0.9951 0.2500  2 Ta 2.23
O4 0.5024 0.0049 0.7500  2 Ta 2.23
O5 0.5024 0.4976 0.7500  2 Ta 2.23
O6 0.9951 0.4976 0.7500  2 Ta 2.23

For the total energy, the calculation gives -9.38 eV per atom. The space group is No. 194.